[1]
First-principles (PBE) data for a relaxed structure of AcMgCdIn, as listed in Alexandria.

Space-group type ... F-43m, No. 216
Magnetic moment ... 0.00 μB/f.u.
D(E_F) ... 0.9 states/eV per cell
ΔE_f ... -0.302 eV per atom

a = 5.457 Å, b = 5.457 Å, c = 5.457 Å
α = 60.00°, β = 60.00°, γ = 60.00°
Element x y z (fractional)
Ac  0.500  0.500  0.500
Cd  0.750  0.750  0.750
Mg  0.000  0.000  0.000
In  0.250  0.250  0.250

[2]
First-principles (PBE) data for a relaxed structure of CeTh2Pt9, as listed in Alexandria.

Space-group type ... R-3m, No. 166
Magnetic moment ... 0.52 μB/f.u.
D(E_F) ... 10.4 states/eV per cell
ΔE_f ... -0.954 eV per atom
Energy above the lowest structure with this stoichiometry ... 112 meV per atom

a = 5.456 Å, b = 5.456 Å, c = 9.569 Å
α = 73.43°, β = 73.43°, γ = 60.00°
Last column: magnetic moment on the atom in μB.
Element x y z (fractional)
Ce  0.000  0.000  0.000  0.53
Th  0.863  0.863  0.412  0.01
Th  0.137  0.137  0.588  0.01
Pt  0.667  0.667  0.999  -0.03
Pt  0.333  0.333  0.001  -0.03
Pt  0.500  0.500  0.500  0.00
Pt  0.413  0.413  0.254  -0.01
Pt  0.919  0.413  0.254  -0.01
Pt  0.413  0.919  0.254  -0.01
Pt  0.587  0.587  0.746  -0.01
Pt  0.587  0.081  0.746  -0.01
Pt  0.081  0.587  0.746  -0.01

[3]
First-principles (PBE) data for a relaxed structure of RbAcSeI, as listed in Alexandria.

Space-group type ... Cm, No. 8
Magnetic moment ... 0.00 μB/f.u.
Raw formation energy ... -1.414 eV/atom
D(E_F) ... 2.7 states/eV per cell

a = 4.508 Å, b = 4.511 Å, c = 9.355 Å
α = 90.00°, β = 104.02°, γ = 119.88°
Element x y z (fractional)
Rb  0.494  0.144  0.654
Ac  0.114  0.955  0.084
Se  0.320  0.558  0.893
I  0.950  0.374  0.339

[4]
First-principles (PBE) data for a relaxed structure of RbReTc2As, as listed in Alexandria.

Space-group type ... P4/mmm, No. 123
Magnetic moment ... 1.49 μB/f.u.
D(E_F) ... 5.8 states/eV per cell
ΔE_f ... 2.104 eV per atom

a = 4.659 Å, b = 5.566 Å, c = 4.659 Å
α = 90.00°, β = 90.00°, γ = 90.00°
Last column: magnetic moment on the atom in μB.
Element x y z (fractional)
Re  0.500  0.500  0.500  3.20
As  0.000  0.000  0.000  0.07
Tc  0.000  0.000  0.500  -1.06
Tc  0.500  0.000  0.000  -1.10
Rb  0.000  0.500  0.000  0.03

[5]
First-principles (PBE) data for a relaxed structure of Rb2AlSiTe4, as listed in Alexandria.

Space-group type ... Fddd, No. 70
Magnetic moment ... 0.00 μB/f.u.
Raw formation energy ... -0.569 eV/atom
D(E_F) ... 7.7 states/eV per cell

a = 6.607 Å, b = 8.269 Å, c = 13.445 Å
α = 84.37°, β = 75.78°, γ = 66.45°
Element x y z (fractional)
Rb  0.183  0.000  0.634
Rb  0.817  0.000  0.366
Rb  0.567  0.500  0.866
Rb  0.933  0.500  0.134
Al  0.750  0.500  0.500
Al  0.000  0.000  0.000
Si  0.250  0.500  0.500
Si  0.500  0.000  0.000
Te  0.289  0.806  0.112
Te  0.207  0.194  0.888
Te  0.905  0.806  0.888
Te  0.599  0.194  0.112
Te  0.461  0.694  0.388
Te  0.543  0.306  0.612
Te  0.845  0.694  0.612
Te  0.151  0.306  0.388

[6]
First-principles (PBE) data for a relaxed structure of CeTmMgTc, as listed in Alexandria.

Space-group type ... P4mm, No. 99
Magnetic moment ... 0.00 μB/f.u.
D(E_F) ... 5.1 states/eV per cell
ΔE_f ... -0.102 eV per atom
Energy above the lowest structure with this stoichiometry ... 0 meV per atom

a = 3.377 Å, b = 3.377 Å, c = 8.508 Å
α = 90.00°, β = 90.00°, γ = 90.00°
Element x y z (fractional)
Ce  0.500  0.500  0.377
Tm  0.500  0.500  0.772
Mg  0.000  0.000  0.068
Tc  0.000  0.000  0.568

[7]
First-principles (PBE) data for a relaxed structure of SbAu2Br6, as listed in Alexandria.

Space-group type ... C2/c, No. 15
Magnetic moment ... 0.00 μB/f.u.
Raw formation energy ... -0.271 eV/atom
D(E_F) ... 12.4 states/eV per cell
Energy above the lowest structure with this stoichiometry ... 0 meV per atom

a = 6.587 Å, b = 10.376 Å, c = 10.376 Å
α = 95.47°, β = 95.85°, γ = 95.85°
Element x y z (fractional)
Sb  0.250  0.915  0.085
Sb  0.750  0.085  0.915
Au  0.206  0.391  0.389
Au  0.294  0.611  0.609
Au  0.794  0.609  0.611
Au  0.706  0.389  0.391
Br  0.452  0.266  0.504
Br  0.048  0.496  0.734
Br  0.548  0.734  0.496
Br  0.952  0.504  0.266
Br  0.880  0.085  0.690
Br  0.620  0.310  0.915
Br  0.120  0.915  0.310
Br  0.380  0.690  0.085
Br  0.111  0.184  0.064
Br  0.389  0.936  0.816
Br  0.889  0.816  0.936
Br  0.611  0.064  0.184

[8]
First-principles (PBE) data for a relaxed structure of LiAl2F, as listed in Alexandria.

Space-group type ... I-42d, No. 122
Magnetic moment ... 0.00 μB/f.u.
Raw formation energy ... -0.523 eV/atom
D(E_F) ... 2.2 states/eV per cell
Energy above the lowest structure with this stoichiometry ... 0 meV per atom

a = 4.787 Å, b = 4.787 Å, c = 7.898 Å
α = 72.36°, β = 72.36°, γ = 90.00°
Element x y z (fractional)
Li  0.500  0.500  0.000
Li  0.250  0.750  0.500
Al  0.775  0.125  0.250
Al  0.975  0.625  0.250
Al  0.375  0.225  0.750
Al  0.875  0.025  0.750
F  0.000  0.000  0.000
F  0.750  0.250  0.500

| no. | E (eV/atom) |
| --- | --- |
| 1 | -2.641 |
| 2 | -7.216 |
| 3 | -3.942 |
| 4 | -5.656 |
| 5 | -3.528 |
| 6 | -5.694 |
| 7 | -2.572 |
| 8 | -3.340 |